First-principles (PBE-GGA) data for a relaxed MgCdHg crystal, as listed in the Alexandria database.

Geometry as POSCAR:
```
MgCdHg
1.0
-2.157 -2.125 3.735
4.724 -0.573 -0.693
0.614 2.743 1.916
Mg Hg Cd
1 1 1
direct
0.333 0.667 0.633
0.667 0.333 0.308
0.000 0.000 0.059
```

Excess energy over the best structure of this formula in the dataset ... 5.7 kJ/mol of atoms
SG ... P3m1, No. 156
Mass density ... 8.223 g cm⁻³
Size of the total moment ... 0.00 μB/f.u.


First-principles (PBE-GGA) data for a relaxed ZrNb3Te crystal, as listed in the Alexandria database.

Geometry as POSCAR:
```
ZrNb3Te
1.0
-3.100 -2.033 3.327
2.338 -4.370 -0.491
3.119 1.256 3.674
Nb Te Zr
3 1 1
direct
0.000 0.500 0.000
0.000 0.000 0.500
0.500 0.000 0.000
0.500 0.500 0.500
0.000 0.000 0.000
```

Excess energy over the best structure of this formula in the dataset ... 34.0 kJ/mol of atoms
SG ... Pm-3m, No. 221
Raw formation energy ... 1.4741 eV/atom
Mass density ... 6.687 g cm⁻³
Size of the total moment ... 0.00 μB/f.u.


First-principles (PBE-GGA) data for a relaxed Hf2TlPt2 crystal, as listed in the Alexandria database.

Geometry as POSCAR:
```
Hf2TlPt2
1.0
5.209 0.000 0.000
0.000 5.209 0.000
0.000 0.000 4.858
Tl Hf Pt
1 2 2
direct
0.000 0.000 0.000
0.000 0.500 0.000
0.500 0.000 0.000
0.500 0.500 0.500
0.000 0.000 0.500
```

Total energy ... -27.59 eV/cell
SG ... P4/mmm, No. 123
Mass density ... 11.988 g cm⁻³
Size of the total moment ... 0.00 μB/f.u.


First-principles (PBE-GGA) data for a relaxed Ca2SbOsAu crystal, as listed in the Alexandria database.

Geometry as POSCAR:
```
Ca2SbOsAu
1.0
-0.979 -5.457 0.056
4.041 -0.755 -2.941
3.183 -0.525 4.509
Os Ca Au Sb
1 2 1 1
direct
0.500 0.500 0.500
0.000 0.000 0.500
0.500 0.000 0.000
0.000 0.000 0.000
0.000 0.500 0.000
```

SG ... P4/mmm, No. 123
Raw formation energy ... 0.7786 eV/atom
Mass density ... 6.296 g cm⁻³
Size of the total moment ... 2.41 μB/f.u.


First-principles (PBE-GGA) data for a relaxed Cs3NbCd crystal, as listed in the Alexandria database.

Geometry as POSCAR:
```
Cs3NbCd
1.0
-3.089 1.506 -5.369
1.514 -5.681 -2.464
-5.367 -2.469 2.395
Cs Nb Cd
3 1 1
direct
0.000 0.500 0.000
0.000 0.000 0.500
0.500 0.000 0.000
0.000 0.000 0.000
0.500 0.500 0.500
```

Total energy ... -7.42 eV/cell
SG ... Pm-3m, No. 221
Mass density ... 3.872 g cm⁻³
Size of the total moment ... 4.00 μB/f.u.


First-principles (PBE-GGA) data for a relaxed DyTm5Hg3 crystal, as listed in the Alexandria database.

Geometry as POSCAR:
```
DyTm5Hg3
1.0
-3.545 -5.401 -2.260
6.224 -5.500 3.382
-6.996 2.487 5.029
Dy Tm Hg
2 10 6
direct
0.000 0.000 0.000
0.500 0.000 0.000
0.000 0.667 0.333
0.500 0.333 0.667
0.000 0.333 0.667
0.500 0.667 0.333
0.750 0.665 0.665
0.750 0.000 0.335
0.750 0.334 0.000
0.250 0.335 0.335
0.250 0.000 0.665
0.250 0.666 0.000
0.750 0.333 0.333
0.750 0.000 0.667
0.750 0.667 0.000
0.250 0.667 0.667
0.250 0.000 0.333
0.250 0.333 0.000
```

Total energy ... -61.39 eV/cell
SG ... P6_3/mcm, No. 193
Mass density ... 11.210 g cm⁻³
Size of the total moment ... 0.00 μB/f.u.


First-principles (PBE-GGA) data for a relaxed ErTm2Pd crystal, as listed in the Alexandria database.

Geometry as POSCAR:
```
ErTm2Pd
1.0
3.528 0.000 0.000
0.000 3.528 0.000
0.000 0.000 8.269
Tm Pd Er
2 1 1
direct
0.000 0.000 0.800
0.000 0.000 0.200
0.500 0.500 0.000
0.500 0.500 0.500
```

Excess energy over the best structure of this formula in the dataset ... 5.5 kJ/mol of atoms
SG ... P4/mmm, No. 123
Mass density ... 9.870 g cm⁻³
Size of the total moment ... 0.00 μB/f.u.


First-principles (PBE-GGA) data for a relaxed CuNiAs2 crystal, as listed in the Alexandria database.

Geometry as POSCAR:
```
CuNiAs2
1.0
7.285 -0.041 -0.024
6.621 3.040 -0.024
6.621 1.428 2.684
As Cu Ni
2 1 1
direct
0.995 0.995 0.995
0.505 0.505 0.505
0.750 0.750 0.750
0.250 0.250 0.250
```

Total energy ... -19.11 eV/cell
SG ... R-3m, No. 166
Mass density ... 7.445 g cm⁻³
Size of the total moment ... 0.00 μB/f.u.


First-principles (PBE-GGA) data for a relaxed CdPtC2 crystal, as listed in the Alexandria database.

Geometry as POSCAR:
```
CdPtC2
1.0
-0.372 4.870 1.175
-1.686 0.988 -4.628
-5.559 2.221 -0.227
C Pt Cd
4 2 2
direct
0.684 0.125 0.250
0.066 0.625 0.250
0.375 0.316 0.750
0.875 0.934 0.750
0.000 0.000 0.000
0.750 0.250 0.500
0.500 0.500 0.000
0.250 0.750 0.500
```

Total energy ... -40.43 eV/cell
SG ... I-42d, No. 122
Mass density ... 9.045 g cm⁻³
Size of the total moment ... 0.00 μB/f.u.


First-principles (PBE-GGA) data for a relaxed FeHgPb2 crystal, as listed in the Alexandria database.

Geometry as POSCAR:
```
FeHgPb2
1.0
3.288 0.016 0.000
-0.410 3.263 0.000
0.000 0.000 9.437
Fe Hg Pb
1 1 2
direct
0.500 0.500 0.250
0.500 0.500 0.750
0.000 0.000 0.052
0.000 0.000 0.448
```

Total energy ... -14.85 eV/cell
SG ... Cmmm, No. 65
Mass density ... 10.996 g cm⁻³
Size of the total moment ... 2.50 μB/f.u.


First-principles (PBE-GGA) data for a relaxed LaCeRhAu crystal, as listed in the Alexandria database.

Geometry as POSCAR:
```
LaCeRhAu
1.0
5.151 0.000 0.000
2.575 4.461 0.000
2.575 1.487 4.206
Rh Au Ce La
1 1 1 1
direct
0.250 0.250 0.250
0.750 0.750 0.750
0.500 0.500 0.500
0.000 0.000 0.000
```

Total energy ... -24.02 eV/cell
SG ... F-43m, No. 216
Mass density ... 9.948 g cm⁻³
Size of the total moment ... 0.89 μB/f.u.


First-principles (PBE-GGA) data for a relaxed SrPrGaCuO5 crystal, as listed in the Alexandria database.

Geometry as POSCAR:
```
SrPrGaCuO5
1.0
9.118 0.007 -0.004
-5.832 7.009 -0.004
1.567 3.346 3.878
Sr Pr Ga Cu O
2 2 2 2 10
direct
0.404 0.125 0.491
0.125 0.404 0.491
0.576 0.871 0.536
0.871 0.576 0.536
0.189 0.189 0.102
0.820 0.820 0.961
0.493 0.993 0.012
0.993 0.493 0.012
0.425 0.229 0.894
0.599 0.800 0.004
0.229 0.425 0.894
0.800 0.599 0.004
0.872 0.872 0.272
0.130 0.130 0.510
0.752 0.242 0.511
0.233 0.749 0.017
0.242 0.752 0.511
0.749 0.233 0.017
```

Excess energy over the best structure of this formula in the dataset ... 1.7 kJ/mol of atoms
SG ... Cm, No. 8
Raw formation energy ... -2.2142 eV/atom
Mass density ... 5.911 g cm⁻³
Size of the total moment ... 0.00 μB/f.u.


First-principles (PBE-GGA) data for a relaxed YSbHPd2 crystal, as listed in the Alexandria database.

Geometry as POSCAR:
```
YSbHPd2
1.0
-4.073 0.759 -1.093
-1.283 -1.300 3.876
0.375 4.234 1.544
Y Sb Pd H
1 1 2 1
direct
0.000 0.000 0.500
0.500 0.500 0.500
0.000 0.500 0.000
0.500 0.000 0.000
0.000 0.000 0.000
```

Excess energy over the best structure of this formula in the dataset ... 0.0 kJ/mol of atoms
SG ... P4/mmm, No. 123
Mass density ... 8.491 g cm⁻³
Size of the total moment ... 0.00 μB/f.u.


First-principles (PBE-GGA) data for a relaxed BeSeCl2 crystal, as listed in the Alexandria database.

Geometry as POSCAR:
```
BeSeCl2
1.0
4.932 -0.475 0.000
-3.588 3.417 0.000
0.000 0.000 8.346
Be Se Cl
1 1 2
direct
0.500 0.500 0.746
0.000 0.000 0.544
0.000 0.000 0.900
0.500 0.500 0.310
```

Excess energy over the best structure of this formula in the dataset ... 32.8 kJ/mol of atoms
SG ... Cmm2, No. 35
Raw formation energy ... -0.2567 eV/atom
Mass density ... 2.087 g cm⁻³
Size of the total moment ... 0.00 μB/f.u.


First-principles (PBE-GGA) data for a relaxed Ho2TiCuO6 crystal, as listed in the Alexandria database.

Geometry as POSCAR:
```
Ho2TiCuO6
1.0
0.890 3.437 -0.648
-2.369 -1.684 -2.139
-8.458 3.445 6.657
Ho Ti Cu O
2 1 1 6
direct
0.000 0.000 0.773
0.000 0.000 0.227
0.667 0.333 0.500
0.333 0.667 0.000
0.667 0.333 0.666
0.333 0.667 0.168
0.000 0.000 0.500
0.000 0.000 0.000
0.333 0.667 0.832
0.667 0.333 0.334
```

SG ... P-6m2, No. 187
Raw formation energy ... -2.7115 eV/atom
Mass density ... 6.998 g cm⁻³
Size of the total moment ... 0.98 μB/f.u.


First-principles (PBE-GGA) data for a relaxed Ac6Si2OsCl3 crystal, as listed in the Alexandria database.

Geometry as POSCAR:
```
Ac6Si2OsCl3
1.0
4.448 0.000 0.000
0.000 9.244 0.353
-2.224 -2.635 9.420
Ac Si Os Cl
6 2 1 3
direct
0.349 0.902 0.698
0.673 0.572 0.345
0.651 0.098 0.302
0.001 0.221 0.001
0.999 0.779 0.999
0.327 0.428 0.655
0.836 0.662 0.673
0.164 0.338 0.327
0.500 0.000 0.000
0.500 0.500 0.000
0.824 0.160 0.647
0.176 0.840 0.353
```

SG ... C2/m, No. 12
Raw formation energy ... -1.0306 eV/atom
Mass density ... 7.274 g cm⁻³
Size of the total moment ... 0.00 μB/f.u.


First-principles (PBE-GGA) data for a relaxed ZrTl2P crystal, as listed in the Alexandria database.

Geometry as POSCAR:
```
ZrTl2P
1.0
-1.034 5.835 6.056
-5.279 5.822 3.165
2.252 -7.602 -2.988
Zr Tl P
1 2 1
direct
0.500 0.000 0.500
0.677 0.677 0.000
0.323 0.323 0.000
0.000 0.500 0.500
```

Total energy ... -20.02 eV/cell
SG ... Immm, No. 71
Mass density ... 8.295 g cm⁻³
Size of the total moment ... 0.00 μB/f.u.


First-principles (PBE-GGA) data for a relaxed HgRuO2F crystal, as listed in the Alexandria database.

Geometry as POSCAR:
```
HgRuO2F
1.0
3.889 0.000 0.000
0.000 3.889 0.000
0.000 0.000 4.401
Ru Hg O F
1 1 2 1
direct
0.000 0.000 0.000
0.500 0.500 0.500
0.000 0.500 0.000
0.500 0.000 0.000
0.000 0.000 0.500
```

SG ... P4/mmm, No. 123
Raw formation energy ... -0.6294 eV/atom
Mass density ... 8.797 g cm⁻³
Size of the total moment ... 0.89 μB/f.u.


First-principles (PBE-GGA) data for a relaxed Tb3Nd2In3 crystal, as listed in the Alexandria database.

Geometry as POSCAR:
```
Tb3Nd2In3
1.0
-4.241 -1.519 0.428
1.386 -4.379 -1.805
3.551 -0.303 10.210
Tb Nd In
3 2 3
direct
0.383 0.383 0.766
0.617 0.617 0.234
0.500 0.000 0.000
0.261 0.761 0.523
0.739 0.239 0.477
0.878 0.878 0.756
0.000 0.500 0.000
0.122 0.122 0.244
```

Total energy ... -34.48 eV/cell
SG ... Immm, No. 71
Mass density ... 8.025 g cm⁻³
Size of the total moment ... 0.00 μB/f.u.


First-principles (PBE-GGA) data for a relaxed Dy3Th2N4 crystal, as listed in the Alexandria database.

Geometry as POSCAR:
```
Dy3Th2N4
1.0
3.434 0.000 0.845
1.519 5.794 1.228
-0.157 0.513 8.043
Dy Th N
3 2 4
direct
0.000 0.000 0.000
0.210 0.397 0.183
0.790 0.603 0.817
0.601 0.188 0.609
0.399 0.812 0.391
0.806 0.100 0.288
0.194 0.900 0.712
0.398 0.301 0.902
0.602 0.699 0.098
```

SG ... C2/m, No. 12
Raw formation energy ... -1.3850 eV/atom
Mass density ... 10.504 g cm⁻³
Size of the total moment ... 0.00 μB/f.u.


First-principles (PBE-GGA) data for a relaxed Li2Tb2DyGe2 crystal, as listed in the Alexandria database.

Geometry as POSCAR:
```
Li2Tb2DyGe2
1.0
-1.126 2.540 3.450
-3.698 -0.871 2.279
3.122 -4.925 7.490
Li Tb Dy Ge
2 2 1 2
direct
0.605 0.605 0.185
0.395 0.395 0.815
0.125 0.125 0.625
0.875 0.875 0.375
0.000 0.000 0.000
0.733 0.733 0.800
0.267 0.267 0.200
```

Total energy ... -30.30 eV/cell
SG ... R-3m, No. 166
Mass density ... 6.836 g cm⁻³
Size of the total moment ... 0.00 μB/f.u.


First-principles (PBE-GGA) data for a relaxed Er4SbPbC crystal, as listed in the Alexandria database.

Geometry as POSCAR:
```
Er4SbPbC
1.0
6.750 0.000 0.000
0.000 6.746 0.000
-3.375 0.000 7.860
Er Sb Pb C
8 2 2 2
direct
0.905 0.250 0.811
0.406 0.750 0.812
0.095 0.750 0.189
0.594 0.250 0.188
0.500 0.500 0.500
0.000 0.000 0.500
0.500 0.000 0.500
0.000 0.500 0.500
0.608 0.750 0.216
0.392 0.250 0.784
0.105 0.250 0.210
0.895 0.750 0.790
0.250 0.750 0.501
0.750 0.250 0.499
```

SG ... Cmcm, No. 63
Raw formation energy ... -0.6755 eV/atom
Mass density ... 9.373 g cm⁻³
Size of the total moment ... 0.00 μB/f.u.


First-principles (PBE-GGA) data for a relaxed La5PmNd2 crystal, as listed in the Alexandria database.

Geometry as POSCAR:
```
La5PmNd2
1.0
-3.547 4.470 0.682
-3.004 -6.055 -0.152
1.647 -1.234 16.650
La Pm Nd
10 2 4
direct
0.925 0.849 0.906
0.925 0.849 0.594
0.383 0.767 0.448
0.383 0.767 0.052
0.534 0.068 0.250
0.466 0.932 0.750
0.617 0.233 0.552
0.617 0.233 0.948
0.075 0.151 0.094
0.075 0.151 0.406
0.747 0.495 0.750
0.253 0.505 0.250
0.775 0.549 0.367
0.775 0.549 0.133
0.225 0.451 0.633
0.225 0.451 0.867
```

Total energy ... -76.22 eV/cell
SG ... Cmcm, No. 63
Mass density ... 6.349 g cm⁻³
Size of the total moment ... 0.00 μB/f.u.


First-principles (PBE-GGA) data for a relaxed TaSb2As crystal, as listed in the Alexandria database.

Geometry as POSCAR:
```
TaSb2As
1.0
3.369 0.000 0.000
0.000 5.296 0.000
0.000 0.000 4.852
Sb As Ta
2 1 1
direct
0.000 0.000 0.000
0.500 0.500 0.000
0.000 0.500 0.500
0.500 0.000 0.500
```

SG ... Pmmm, No. 47
Raw formation energy ... 0.4983 eV/atom
Mass density ... 9.577 g cm⁻³
Size of the total moment ... 0.00 μB/f.u.


First-principles (PBE-GGA) data for a relaxed BeTlCd2 crystal, as listed in the Alexandria database.

Geometry as POSCAR:
```
BeTlCd2
1.0
0.000 3.537 3.537
3.537 0.000 3.537
3.537 3.537 0.000
Be Tl Cd
1 1 2
direct
0.000 0.000 0.000
0.500 0.500 0.500
0.250 0.250 0.250
0.750 0.750 0.750
```

Excess energy over the best structure of this formula in the dataset ... 24.1 kJ/mol of atoms
SG ... Fm-3m, No. 225
Mass density ... 8.221 g cm⁻³
Size of the total moment ... 0.00 μB/f.u.